# 1
The following is a DFT calculation (PBE) of a relaxed Pm3Lu crystal.

Computed properties:
SG = No. 139
Excess energy over the best structure of this formula in the dataset = 0.05 kcal/mol of atoms
ΔH_f (0 K) = 18 meV per atom

a b c (Å): 6.2199 6.2199 6.2199
angles (deg): 131.53 131.53 70.98
Last column: nearest neighbours and their distance in Å.
Fractional coordinates of all 4 atoms:
Pm: 0.0000 0.0000 0.0000  8 Pm 3.60, 4 Lu 3.61
Pm: 0.2500 0.7500 0.5000  8 Pm 3.60-3.61, 4 Lu 3.60
Pm: 0.7500 0.2500 0.5000  8 Pm 3.60-3.61, 4 Lu 3.60
Lu: 0.5000 0.5000 0.0000  12 Pm 3.60-3.61

# 2
The following is a DFT calculation (PBE) of a relaxed PmLu5 crystal.

Computed properties:
SG = No. 65
ΔH_f (0 K) = 106 meV per atom

a b c (Å): 9.2386 9.2386 3.7058
angles (deg): 90.00 90.00 144.65
Last column: nearest neighbours and their distance in Å.
Fractional coordinates of all 6 atoms:
Pm: 0.0000 0.0000 0.0000  8 Lu 3.36-3.73, 2 Pm 3.71
Lu: 0.1836 0.8164 0.5000  10 Lu 3.40-3.71, 2 Pm 3.73
Lu: 0.3460 0.6540 0.0000  8 Lu 3.28-3.41
Lu: 0.5000 0.5000 0.5000  4 Lu 3.28, 4 Pm 3.36
Lu: 0.6540 0.3460 0.0000  8 Lu 3.28-3.41
Lu: 0.8164 0.1836 0.5000  10 Lu 3.40-3.71, 2 Pm 3.73

# 3
The following is a DFT calculation (PBE) of a relaxed PmLu3 crystal.

Computed properties:
SG = No. 225
Excess energy over the best structure of this formula in the dataset = 2.49 kcal/mol of atoms
ΔH_f (0 K) = 115 meV per atom

a b c (Å): 5.5863 5.5863 5.5863
angles (deg): 60.00 60.00 60.00
Last column: nearest neighbours and their distance in Å.
Fractional coordinates of all 4 atoms:
Pm: 0.0000 0.0000 0.0000  8 Lu 3.42
Lu: 0.2500 0.2500 0.2500  4 Pm 3.42, 4 Lu 3.42
Lu: 0.5000 0.5000 0.5000  8 Lu 3.42
Lu: 0.7500 0.7500 0.7500  4 Lu 3.42, 4 Pm 3.42

# 4
The following is a DFT calculation (PBE) of a relaxed Pm3Lu crystal.

Computed properties:
SG = No. 225
Excess energy over the best structure of this formula in the dataset = 2.67 kcal/mol of atoms
ΔH_f (0 K) = 132 meV per atom

a b c (Å): 5.7349 5.7349 5.7349
angles (deg): 60.00 60.00 60.00
Last column: nearest neighbours and their distance in Å.
Fractional coordinates of all 4 atoms:
Pm: 0.0000 0.0000 0.0000  8 Pm 3.51
Pm: 0.2500 0.2500 0.2500  4 Lu 3.51, 4 Pm 3.51
Pm: 0.7500 0.7500 0.7500  4 Lu 3.51, 4 Pm 3.51
Lu: 0.5000 0.5000 0.5000  8 Pm 3.51

# 5
The following is a DFT calculation (PBE) of a relaxed Pm3Lu crystal.

Computed properties:
SG = No. 221
Excess energy over the best structure of this formula in the dataset = 0.00 kcal/mol of atoms
ΔH_f (0 K) = 16 meV per atom

a b c (Å): 5.0899 5.0899 5.0899
angles (deg): 90.00 90.00 90.00
Last column: nearest neighbours and their distance in Å.
Fractional coordinates of all 4 atoms:
Pm: 0.0000 0.0000 0.5000  8 Pm 3.60, 4 Lu 3.60
Pm: 0.0000 0.5000 0.0000  8 Pm 3.60, 4 Lu 3.60
Pm: 0.5000 0.0000 0.0000  8 Pm 3.60, 4 Lu 3.60
Lu: 0.5000 0.5000 0.5000  12 Pm 3.60

# 6
The following is a DFT calculation (PBE) of a relaxed Pm3Lu crystal.

Computed properties:
SG = No. 25
Excess energy over the best structure of this formula in the dataset = 0.37 kcal/mol of atoms
ΔH_f (0 K) = 32 meV per atom

a b c (Å): 3.6585 5.7888 6.3081
angles (deg): 90.00 90.00 90.00
Last column: nearest neighbours and their distance in Å.
Fractional coordinates of all 4 atoms:
Pm: 0.0000 0.0000 0.0000  8 Pm 3.58-3.66, 4 Lu 3.63-3.66
Pm: 0.0000 0.5000 0.3352  4 Lu 3.58, 8 Pm 3.58-3.66
Pm: 0.5000 0.5000 0.8349  2 Lu 3.57, 10 Pm 3.58-3.66
Lu: 0.5000 0.0000 0.5022  10 Pm 3.57-3.66, 2 Lu 3.66

# 7
The following is a DFT calculation (PBE) of a relaxed PmLu3 crystal.

Computed properties:
SG = No. 194
Excess energy over the best structure of this formula in the dataset = 0.00 kcal/mol of atoms
ΔH_f (0 K) = 7 meV per atom

a b c (Å): 7.1263 7.1263 5.5930
angles (deg): 90.00 90.00 120.00
Last column: nearest neighbours and their distance in Å.
Fractional coordinates of all 8 atoms:
Pm: 0.3333 0.6667 0.2500  12 Lu 3.48-3.56
Pm: 0.6667 0.3333 0.7500  12 Lu 3.48-3.56
Lu: 0.1652 0.3303 0.7500  8 Lu 3.46-3.60, 4 Pm 3.48-3.56
Lu: 0.1652 0.8348 0.7500  8 Lu 3.46-3.60, 4 Pm 3.48-3.56
Lu: 0.3303 0.1652 0.2500  8 Lu 3.46-3.60, 4 Pm 3.48-3.56
Lu: 0.6697 0.8348 0.7500  8 Lu 3.46-3.60, 4 Pm 3.48-3.56
Lu: 0.8348 0.1652 0.2500  8 Lu 3.46-3.60, 4 Pm 3.48-3.56
Lu: 0.8348 0.6697 0.2500  8 Lu 3.46-3.60, 4 Pm 3.48-3.56

# 8
The following is a DFT calculation (PBE) of a relaxed PmLu3 crystal.

Computed properties:
SG = No. 221
Excess energy over the best structure of this formula in the dataset = 0.63 kcal/mol of atoms
ΔH_f (0 K) = 34 meV per atom

a b c (Å): 4.9603 4.9603 4.9603
angles (deg): 90.00 90.00 90.00
Last column: nearest neighbours and their distance in Å.
Fractional coordinates of all 4 atoms:
Pm: 0.0000 0.0000 0.0000  12 Lu 3.51
Lu: 0.0000 0.5000 0.5000  4 Pm 3.51, 8 Lu 3.51
Lu: 0.5000 0.0000 0.5000  4 Pm 3.51, 8 Lu 3.51
Lu: 0.5000 0.5000 0.0000  4 Pm 3.51, 8 Lu 3.51

Question: Which value of ΔH_f (0 K) does entry 4 give?
Answer: 132 meV per atom